TcAg2W2: single point on PBEsol structure, SCAN.

## Properties
ΔE_f in meV per atom: 1062
ρ in g cm⁻³: 13.02
Total magnetization in μB per atom: 0.00

Geometry as CIF:
```
data_TcAg2W2
_symmetry_space_group_name_H-M 'I 4/m m m'
_symmetry_Int_Tables_number 139
_symmetry_space_group_name_Hall '-I 4 2'
_cell_length_a 3.5243
_cell_length_b 3.5243
_cell_length_c 13.9884
_cell_angle_alpha 90.00
_cell_angle_beta 90.00
_cell_angle_gamma 90.00
loop_
_atom_site_label
_atom_site_fract_x
_atom_site_fract_y
_atom_site_fract_z
_atom_site_occupancy
Tc1 0.0000 0.0000 0.0000 1
Ag1 0.0000 0.5000 0.2500 1
W1 0.0000 0.0000 0.4168 1
```

---

TcAgW2: single point on PBEsol structure, SCAN.

## Properties
ΔE_f in meV per atom: 510
ρ in g cm⁻³: 15.31
Total magnetization in μB per atom: 0.00

Geometry as CIF:
```
data_TcAgW2
_symmetry_space_group_name_H-M 'P m m 2'
_symmetry_Int_Tables_number 25
_symmetry_space_group_name_Hall 'P 2 -2'
_cell_length_a 2.8230
_cell_length_b 3.9406
_cell_length_c 5.5907
_cell_angle_alpha 90.00
_cell_angle_beta 90.00
_cell_angle_gamma 90.00
loop_
_atom_site_label
_atom_site_fract_x
_atom_site_fract_y
_atom_site_fract_z
_atom_site_occupancy
Tc1 0.0000 0.0000 0.0000 1
Ag1 0.5000 0.5000 0.7252 1
W1 0.0000 0.0000 0.4581 1
W2 0.5000 0.5000 0.2127 1
```

---

YTcAg2: single point on PBEsol structure, SCAN.

## Properties
ΔE_f in meV per atom: 599
ρ in g cm⁻³: 9.43
Total magnetization in μB per atom: 0.00
ΔE to the lowest computed polymorph in kcal/mol of atoms: 7.03

Geometry as CIF:
```
data_YTcAg2
_symmetry_space_group_name_H-M 'R -3 m'
_symmetry_Int_Tables_number 166
_symmetry_space_group_name_Hall '-R 3 2"'
_cell_length_a 2.8712
_cell_length_b 2.8712
_cell_length_c 29.7873
_cell_angle_alpha 90.00
_cell_angle_beta 90.00
_cell_angle_gamma 120.00
loop_
_atom_site_label
_atom_site_fract_x
_atom_site_fract_y
_atom_site_fract_z
_atom_site_occupancy
Y1 0.0000 0.0000 0.0000 1
Tc1 0.0000 0.0000 0.5000 1
Ag1 0.0000 0.0000 0.2438 1
```

---

YTcAg2: single point on PBEsol structure, SCAN.

## Properties
ΔE_f in meV per atom: 301
ρ in g cm⁻³: 9.31
Total magnetization in μB per atom: 0.00
ΔE to the lowest computed polymorph in kcal/mol of atoms: 0.17

Geometry as CIF:
```
data_YTcAg2
_symmetry_space_group_name_H-M 'P 1 2/m 1'
_symmetry_Int_Tables_number 10
_symmetry_space_group_name_Hall '-P 2y'
_cell_length_a 2.8346
_cell_length_b 4.8307
_cell_length_c 5.3898
_cell_angle_alpha 90.00
_cell_angle_beta 103.33
_cell_angle_gamma 90.00
loop_
_atom_site_label
_atom_site_fract_x
_atom_site_fract_y
_atom_site_fract_z
_atom_site_occupancy
Y1 0.0000 0.0000 0.0000 1
Tc1 0.5000 0.0000 0.5000 1
Ag1 0.3078 0.5000 0.7302 1
```

---

YTc2Ag: single point on PBEsol structure, SCAN.

## Properties
ΔE_f in meV per atom: 712
ρ in g cm⁻³: 9.54
Total magnetization in μB per atom: 0.81
ΔE to the lowest computed polymorph in kcal/mol of atoms: 8.96

Geometry as CIF:
```
data_YTc2Ag
_symmetry_space_group_name_H-M 'F m -3 m'
_symmetry_Int_Tables_number 225
_symmetry_space_group_name_Hall '-F 4 2 3'
_cell_length_a 6.4897
_cell_length_b 6.4897
_cell_length_c 6.4897
_cell_angle_alpha 90.00
_cell_angle_beta 90.00
_cell_angle_gamma 90.00
loop_
_atom_site_label
_atom_site_fract_x
_atom_site_fract_y
_atom_site_fract_z
_atom_site_occupancy
Y1 0.0000 0.0000 0.0000 1
Tc1 0.2500 0.2500 0.2500 1
Ag1 0.0000 0.0000 0.5000 1
```

---

YTcAg2: single point on PBEsol structure, SCAN.

## Properties
ΔE_f in meV per atom: 305
ρ in g cm⁻³: 9.37
Total magnetization in μB per atom: 0.00
ΔE to the lowest computed polymorph in kcal/mol of atoms: 0.25

Geometry as CIF:
```
data_YTcAg2
_symmetry_space_group_name_H-M 'P m m m'
_symmetry_Int_Tables_number 47
_symmetry_space_group_name_Hall '-P 2 2'
_cell_length_a 2.8978
_cell_length_b 4.3052
_cell_length_c 5.7187
_cell_angle_alpha 90.00
_cell_angle_beta 90.00
_cell_angle_gamma 90.00
loop_
_atom_site_label
_atom_site_fract_x
_atom_site_fract_y
_atom_site_fract_z
_atom_site_occupancy
Y1 0.0000 0.0000 0.0000 1
Tc1 0.0000 0.0000 0.5000 1
Ag1 0.5000 0.5000 0.2690 1
```

---

YTcAg: single point on PBEsol structure, SCAN.

## Properties
ΔE_f in meV per atom: 318
ρ in g cm⁻³: 8.58
Total magnetization in μB per atom: 0.39

Geometry as CIF:
```
data_YTcAg
_symmetry_space_group_name_H-M 'I 4 m m'
_symmetry_Int_Tables_number 107
_symmetry_space_group_name_Hall 'I 4 -2'
_cell_length_a 3.4578
_cell_length_b 3.4578
_cell_length_c 9.5427
_cell_angle_alpha 90.00
_cell_angle_beta 90.00
_cell_angle_gamma 90.00
loop_
_atom_site_label
_atom_site_fract_x
_atom_site_fract_y
_atom_site_fract_z
_atom_site_occupancy
Y1 0.0000 0.0000 0.0000 1
Tc1 0.0000 0.0000 0.3218 1
Ag1 0.0000 0.0000 0.6896 1
```

---

YTc2Ag: single point on PBEsol structure, SCAN.

## Properties
ΔE_f in meV per atom: 323
ρ in g cm⁻³: 9.54
Total magnetization in μB per atom: 0.00
ΔE to the lowest computed polymorph in kcal/mol of atoms: 0.00

Geometry as CIF:
```
data_YTc2Ag
_symmetry_space_group_name_H-M 'P 4/m m m'
_symmetry_Int_Tables_number 123
_symmetry_space_group_name_Hall '-P 4 2'
_cell_length_a 3.9034
_cell_length_b 3.9034
_cell_length_c 4.4853
_cell_angle_alpha 90.00
_cell_angle_beta 90.00
_cell_angle_gamma 90.00
loop_
_atom_site_label
_atom_site_fract_x
_atom_site_fract_y
_atom_site_fract_z
_atom_site_occupancy
Y1 0.0000 0.0000 0.0000 1
Tc1 0.0000 0.5000 0.5000 1
Ag1 0.5000 0.5000 0.0000 1
```

---

YTcAg2: single point on PBEsol structure, SCAN.

## Properties
ΔE_f in meV per atom: 294
ρ in g cm⁻³: 9.44
Total magnetization in μB per atom: 0.00
ΔE to the lowest computed polymorph in kcal/mol of atoms: 0.00

Geometry as CIF:
```
data_YTcAg2
_symmetry_space_group_name_H-M 'C m m m'
_symmetry_Int_Tables_number 65
_symmetry_space_group_name_Hall '-C 2 2'
_cell_length_a 5.6515
_cell_length_b 8.5272
_cell_length_c 2.9394
_cell_angle_alpha 90.00
_cell_angle_beta 90.00
_cell_angle_gamma 90.00
loop_
_atom_site_label
_atom_site_fract_x
_atom_site_fract_y
_atom_site_fract_z
_atom_site_occupancy
Y1 0.0000 0.0000 0.0000 1
Tc1 0.0000 0.5000 0.0000 1
Ag1 0.2500 0.2500 0.5000 1
```

---

ZnTcAg2: single point on PBEsol structure, SCAN.

## Properties
ΔE_f in meV per atom: 355
ρ in g cm⁻³: 10.39
Total magnetization in μB per atom: 0.18

Geometry as CIF:
```
data_ZnTcAg2
_symmetry_space_group_name_H-M 'I m m m'
_symmetry_Int_Tables_number 71
_symmetry_space_group_name_Hall '-I 2 2'
_cell_length_a 2.6781
_cell_length_b 4.7169
_cell_length_c 9.5932
_cell_angle_alpha 90.00
_cell_angle_beta 90.00
_cell_angle_gamma 90.00
loop_
_atom_site_label
_atom_site_fract_x
_atom_site_fract_y
_atom_site_fract_z
_atom_site_occupancy
Zn1 0.0000 0.0000 0.0000 1
Tc1 0.0000 0.0000 0.5000 1
Ag1 0.0000 0.5000 0.2620 1
```

---

ZnTcAg2: single point on PBEsol structure, SCAN.

## Properties
ΔE_f in meV per atom: 349
ρ in g cm⁻³: 10.40
Total magnetization in μB per atom: 0.00

Geometry as CIF:
```
data_ZnTcAg2
_symmetry_space_group_name_H-M 'P m m 2'
_symmetry_Int_Tables_number 25
_symmetry_space_group_name_Hall 'P 2 -2'
_cell_length_a 2.6553
_cell_length_b 3.9447
_cell_length_c 5.7770
_cell_angle_alpha 90.00
_cell_angle_beta 90.00
_cell_angle_gamma 90.00
loop_
_atom_site_label
_atom_site_fract_x
_atom_site_fract_y
_atom_site_fract_z
_atom_site_occupancy
Zn1 0.0000 0.0000 0.0000 1
Tc1 0.5000 0.5000 0.7770 1
Ag1 0.0000 0.0000 0.5202 1
Ag2 0.5000 0.5000 0.2592 1
```

---

Zn3TcAg: single point on PBEsol structure, SCAN.

## Properties
ΔE_f in meV per atom: 1109
ρ in g cm⁻³: 6.92
Total magnetization in μB per atom: 0.68

Geometry as CIF:
```
data_Zn3TcAg
_symmetry_space_group_name_H-M 'P m -3 m'
_symmetry_Int_Tables_number 221
_symmetry_space_group_name_Hall '-P 4 2 3'
_cell_length_a 4.5872
_cell_length_b 4.5872
_cell_length_c 4.5872
_cell_angle_alpha 90.00
_cell_angle_beta 90.00
_cell_angle_gamma 90.00
loop_
_atom_site_label
_atom_site_fract_x
_atom_site_fract_y
_atom_site_fract_z
_atom_site_occupancy
Zn1 0.0000 0.0000 0.5000 1
Tc1 0.5000 0.5000 0.5000 1
Ag1 0.0000 0.0000 0.0000 1
```

---

ZnTc2Ag: single point on PBEsol structure, SCAN.

## Properties
ΔE_f in meV per atom: 354
ρ in g cm⁻³: 10.61
Total magnetization in μB per atom: 0.00

Geometry as CIF:
```
data_ZnTc2Ag
_symmetry_space_group_name_H-M 'I m m m'
_symmetry_Int_Tables_number 71
_symmetry_space_group_name_Hall '-I 2 2'
_cell_length_a 3.1596
_cell_length_b 4.0524
_cell_length_c 9.0291
_cell_angle_alpha 90.00
_cell_angle_beta 90.00
_cell_angle_gamma 90.00
loop_
_atom_site_label
_atom_site_fract_x
_atom_site_fract_y
_atom_site_fract_z
_atom_site_occupancy
Zn1 0.0000 0.0000 0.0000 1
Tc1 0.0000 0.5000 0.2568 1
Ag1 0.0000 0.0000 0.5000 1
```

---

ZnTc2Ag: single point on PBEsol structure, SCAN.

## Properties
ΔE_f in meV per atom: 368
ρ in g cm⁻³: 10.61
Total magnetization in μB per atom: 0.00

Geometry as CIF:
```
data_ZnTc2Ag
_symmetry_space_group_name_H-M 'F -4 3 m'
_symmetry_Int_Tables_number 216
_symmetry_space_group_name_Hall 'F -4 2 3'
_cell_length_a 6.1382
_cell_length_b 6.1382
_cell_length_c 6.1382
_cell_angle_alpha 90.00
_cell_angle_beta 90.00
_cell_angle_gamma 90.00
loop_
_atom_site_label
_atom_site_fract_x
_atom_site_fract_y
_atom_site_fract_z
_atom_site_occupancy
Zn1 0.0000 0.0000 0.0000 1
Tc1 0.0000 0.0000 0.5000 1
Tc2 0.2500 0.2500 0.2500 1
Ag1 0.2500 0.2500 0.7500 1
```

---

Zn4TcAg: single point on PBEsol structure, SCAN.

## Properties
ΔE_f in meV per atom: 188
ρ in g cm⁻³: 9.31
Total magnetization in μB per atom: 0.29

Geometry as CIF:
```
data_Zn4TcAg
_symmetry_space_group_name_H-M 'F -4 3 m'
_symmetry_Int_Tables_number 216
_symmetry_space_group_name_Hall 'F -4 2 3'
_cell_length_a 6.9342
_cell_length_b 6.9342
_cell_length_c 6.9342
_cell_angle_alpha 90.00
_cell_angle_beta 90.00
_cell_angle_gamma 90.00
loop_
_atom_site_label
_atom_site_fract_x
_atom_site_fract_y
_atom_site_fract_z
_atom_site_occupancy
Zn1 0.1243 0.1243 0.3757 1
Tc1 0.2500 0.2500 0.7500 1
Ag1 0.0000 0.0000 0.0000 1
```